NaVPdO4 | PBE+U | optimized geometry

a b c (Å): 5.365 5.365 6.881
angles (deg): 90.00 90.00 110.18
Positions (direct):
1 O 0.226 0.243 0.750
2 O 0.766 0.234 0.961
3 O 0.243 0.226 0.250
4 O 0.766 0.234 0.539
5 V 0.123 0.877 0.250
6 O 0.234 0.766 0.039
7 O 0.757 0.774 0.750
8 Na 0.500 0.500 0.000
9 Pd 0.205 0.795 0.750
10 V 0.877 0.123 0.750
11 Na 0.500 0.500 0.500
12 Pd 0.795 0.205 0.250
13 O 0.234 0.766 0.461
14 O 0.774 0.757 0.250

Calculated values
electronic total energy = -6.13 eV/atom